No. 1
VASP calculation (PBE) on crystalline KIn4Bi2 at its relaxed geometry.

Results
Crystal system: tetragonal
Formation energy (eV per atom): -0.101
Space-group type: P4_2/mnm

Cell lengths 5.2739, 9.4282, 9.4282 Å; angles 90.00, 90.00, 90.00 degrees
Atoms (fractional coordinates):
In1 0.5000 0.4079 0.8563
Bi1 0.0000 0.7834 0.2166
K1 0.5000 0.0000 0.0000
In2 0.5000 0.5921 0.1437
Bi2 0.5000 0.7166 0.7166
Bi3 0.5000 0.2834 0.2834
K2 0.0000 0.5000 0.5000
In3 0.0000 0.9079 0.6437
In4 0.5000 0.8563 0.4079
Bi4 0.0000 0.2166 0.7834
In5 0.0000 0.3563 0.0921
In6 0.5000 0.1437 0.5921
In7 0.0000 0.0921 0.3563
In8 0.0000 0.6437 0.9079

***

No. 2
VASP calculation (PBE) on crystalline SiRh2Br at its relaxed geometry.

Results
Crystal system: cubic
Energy relative to the elements, uncorrected (meV/atom): 586
Space-group type: F-43m

Cell lengths 4.4934, 4.4934, 4.4934 Å; angles 60.00, 60.00, 60.00 degrees
Atoms (fractional coordinates):
Si1 0.7500 0.7500 0.7500
Br1 0.5000 0.5000 0.5000
Rh1 0.2500 0.2500 0.2500
Rh2 0.0000 0.0000 0.0000

***

No. 3
VASP calculation (PBE) on crystalline Er4GeSb2Te at its relaxed geometry.

Results
Crystal system: monoclinic
Energy relative to the elements, uncorrected (meV/atom): -1095
Space-group type: P2/m

Cell lengths 4.2772, 7.4549, 7.4342 Å; angles 109.21, 90.00, 90.00 degrees
Atoms (fractional coordinates):
Sb1 0.0000 0.5000 0.5000
Er1 0.0000 0.7337 0.2380
Er2 0.0000 0.2663 0.7620
Sb2 0.5000 0.0000 0.5000
Er3 0.5000 0.2657 0.2467
Er4 0.5000 0.7343 0.7533
Te1 0.0000 0.0000 0.0000
Ge1 0.5000 0.5000 0.0000

***

No. 4
VASP calculation (PBE) on crystalline TbHgPd2 at its relaxed geometry.

Results
Crystal system: tetragonal
Formation energy (eV per atom): -0.627
Space-group type: P4/mmm

Cell lengths 3.6143, 3.6143, 6.0899 Å; angles 90.00, 90.00, 90.00 degrees
Atoms (fractional coordinates):
Tb1 0.5000 0.5000 0.0000
Pd1 0.0000 0.0000 0.2559
Pd2 0.0000 0.0000 0.7441
Hg1 0.5000 0.5000 0.5000

***

No. 5
VASP calculation (PBE) on crystalline Cs2KCd3 at its relaxed geometry.

Results
Crystal system: orthorhombic
Formation energy (eV per atom): -0.009
Space-group type: Cmcm

Cell lengths 10.8939, 10.8939, 6.1172 Å; angles 90.00, 90.00, 119.92 degrees
Atoms (fractional coordinates):
Cs1 0.4980 0.8339 0.7500
Cd1 0.5000 0.5000 0.0000
K1 0.8315 0.8315 0.2500
K2 0.1685 0.1685 0.7500
Cd2 0.8452 0.1548 0.0000
Cd3 0.8452 0.1548 0.5000
Cs2 0.1661 0.5020 0.2500
Cd4 0.1548 0.8452 0.0000
Cs3 0.8339 0.4980 0.7500
Cd5 0.1548 0.8452 0.5000
Cd6 0.5000 0.5000 0.5000
Cs4 0.5020 0.1661 0.2500

***

No. 6
VASP calculation (PBE) on crystalline Ca3Pr5S8 at its relaxed geometry.

Results
Crystal system: trigonal
Energy relative to the elements, uncorrected (meV/atom): -2041
Space-group type: R-3m

Cell lengths 8.1252, 8.1252, 8.1929 Å; angles 60.27, 60.27, 60.00 degrees
Atoms (fractional coordinates):
Pr1 0.5000 0.5000 0.0000
Ca1 0.0000 0.5000 0.5000
S1 0.7573 0.2500 0.7428
S2 0.7500 0.2427 0.2572
S3 0.2471 0.2471 0.2587
S4 0.2500 0.7573 0.7428
Pr2 0.0000 0.0000 0.0000
Ca2 0.0000 0.0000 0.5000
Pr3 0.5000 0.0000 0.0000
S5 0.2500 0.2500 0.7428
S6 0.2427 0.7500 0.2572
S7 0.7529 0.7529 0.7413
Pr4 0.5000 0.5000 0.5000
Pr5 0.0000 0.5000 0.0000
Ca3 0.5000 0.0000 0.5000
S8 0.7500 0.7500 0.2572

***

No. 7
VASP calculation (PBE) on crystalline LaSiRu3 at its relaxed geometry.

Results
Crystal system: cubic
Energy relative to the elements, uncorrected (meV/atom): 1994
Space-group type: Pm-3m

Cell lengths 4.8149, 4.8149, 4.8149 Å; angles 90.00, 90.00, 90.00 degrees
Atoms (fractional coordinates):
Si1 0.5000 0.5000 0.5000
Ru1 0.0000 0.5000 0.0000
La1 0.0000 0.0000 0.0000
Ru2 0.5000 0.0000 0.0000
Ru3 0.0000 0.0000 0.5000

***

No. 8
VASP calculation (PBE) on crystalline AcGa2AgAu5 at its relaxed geometry.

Results
Crystal system: tetragonal
Formation energy (eV per atom): -0.303
Space-group type: P4/mmm

Cell lengths 5.1180, 5.1180, 7.4965 Å; angles 90.00, 90.00, 90.00 degrees
Atoms (fractional coordinates):
Au1 0.5000 0.0000 0.2152
Au2 0.0000 0.5000 0.7848
Ga1 0.5000 0.5000 0.1626
Au3 0.5000 0.0000 0.7848
Au4 0.5000 0.5000 0.5000
Ga2 0.5000 0.5000 0.8374
Ag1 0.0000 0.0000 0.0000
Ac1 0.0000 0.0000 0.5000
Au5 0.0000 0.5000 0.2152

***

No. 9
VASP calculation (PBE) on crystalline TlCr3Tc at its relaxed geometry.

Results
Crystal system: cubic
Formation energy (eV per atom): 1.197
Space-group type: Pm-3m

Cell lengths 4.7127, 4.7127, 4.7127 Å; angles 90.00, 90.00, 90.00 degrees
Atoms (fractional coordinates):
Tc1 0.0000 0.0000 0.0000
Tl1 0.5000 0.5000 0.5000
Cr1 0.0000 0.5000 0.0000
Cr2 0.0000 0.0000 0.5000
Cr3 0.5000 0.0000 0.0000

***

No. 10
VASP calculation (PBE) on crystalline Sm5ErAl6 at its relaxed geometry.

Results
Crystal system: orthorhombic
Formation energy (eV per atom): -0.377
Space-group type: Immm

Cell lengths 5.1818, 7.3098, 8.9727 Å; angles 65.95, 73.21, 89.99 degrees
Atoms (fractional coordinates):
Al1 0.8358 0.5922 0.3280
Er1 0.0000 0.0000 0.0000
Al2 0.1642 0.4078 0.6720
Sm1 0.3353 0.3354 0.3292
Sm2 0.0000 0.5000 0.0000
Al3 0.1641 0.9202 0.6720
Sm3 0.6647 0.6646 0.6708
Al4 0.5000 0.7622 0.0000
Al5 0.5000 0.2378 0.0000
Sm4 0.6706 0.1705 0.6590
Sm5 0.3294 0.8295 0.3410
Al6 0.8359 0.0798 0.3280

***

No. 11
VASP calculation (PBE) on crystalline MnAlCo2H at its relaxed geometry.

Results
Crystal system: tetragonal
Space-group type: P4/mmm

Cell lengths 4.1047, 4.6212, 4.1047 Å; angles 90.00, 90.00, 90.00 degrees
Atoms (fractional coordinates):
H1 0.5000 0.5000 0.5000
Co1 0.5000 0.0000 0.0000
Co2 0.0000 0.0000 0.5000
Mn1 0.0000 0.0000 0.0000
Al1 0.0000 0.5000 0.0000

***

No. 12
VASP calculation (PBE) on crystalline MnSICl2 at its relaxed geometry.

Results
Crystal system: tetragonal
Energy relative to the elements, uncorrected (meV/atom): 593
Space-group type: P4/mmm

Cell lengths 5.4989, 5.4989, 5.1969 Å; angles 90.00, 90.00, 90.00 degrees
Atoms (fractional coordinates):
S1 0.0000 0.0000 0.5000
Cl1 0.0000 0.5000 0.0000
I1 0.0000 0.0000 0.0000
Mn1 0.5000 0.5000 0.5000
Cl2 0.5000 0.0000 0.0000

***

These records have DFT total energy values of -2.931, -4.864, -5.377, -4.456, -0.934, -5.974, -5.642, -3.570, -7.123, -4.594, -4.639, -3.115 eV/atom, in the order they appear.